The following is a PBE-GGA calculation of a relaxed structure of Ti4Sb2C, from Alexandria via LeMat-Bulk.

abc: 7.087 10.185 3.367
angles: 90.00 90.00 90.00
Space group Pbam (No. 55)
Symmetry-distinct sites (fractional):
Ti  0.128  0.182  0.000 x4
Ti  0.172  0.934  0.500 x4
Sb  0.064  0.651  0.500 x4
C  0.000  0.000  0.000 x2

Distance to the lowest polymorph of the same formula (meV per atom): 0
Energy relative to the elements, uncorrected (meV per atom): -587


The following is a PBE-GGA calculation of a relaxed structure of LiTbDyNi, from Alexandria via LeMat-Bulk.

abc: 6.976 6.976 6.976
angles: 90.00 90.00 90.00
Space group F-43m (No. 216)
Symmetry-distinct sites (fractional):
Li  0.000  0.000  0.000 x4
Tb  0.250  0.250  0.750 x4
Dy  0.250  0.250  0.250 x4
Ni  0.000  0.000  0.500 x4

Calculated formation energy (eV per formula unit): -0.53


The following is a PBE-GGA calculation of a relaxed structure of DyAl6Au3, from Alexandria via LeMat-Bulk.

abc: 8.561 4.271 10.421
angles: 90.00 96.98 90.00
Space group P2_1/m (No. 11)
Symmetry-distinct sites (fractional):
Dy  0.009  0.250  0.233 x2
Al  0.083  0.750  0.460 x2
Al  0.156  0.250  0.946 x2
Al  0.219  0.250  0.686 x2
Al  0.348  0.250  0.210 x2
Al  0.407  0.750  0.579 x2
Al  0.486  0.750  0.088 x2
Au  0.184  0.750  0.092 x2
Au  0.294  0.250  0.451 x2
Au  0.351  0.750  0.832 x2

Calculated formation energy (eV per formula unit): -3.94


The following is a PBE-GGA calculation of a relaxed structure of ScMoCl2, from Alexandria via LeMat-Bulk.

abc: 2.997 4.279 5.843
angles: 90.00 90.00 90.00
Space group Pmmm (No. 47)
Symmetry-distinct sites (fractional):
Sc  0.000  0.000  0.000 x1
Mo  0.500  0.000  0.500 x1
Cl  0.000  0.500  0.500 x1
Cl  0.500  0.500  0.000 x1

Distance to the lowest polymorph of the same formula (meV per atom): 590
Energy relative to the elements, uncorrected (meV per atom): -220


The following is a PBE-GGA calculation of a relaxed structure of Li2AgPH, from Alexandria via LeMat-Bulk.

abc: 5.213 5.213 4.419
angles: 90.00 90.00 90.00
Space group P4/mmm (No. 123)
Symmetry-distinct sites (fractional):
Li  0.000  0.500  0.000 x2
Ag  0.000  0.000  0.000 x1
P  0.000  0.000  0.500 x1
H  0.500  0.500  0.500 x1

Distance to the lowest polymorph of the same formula (meV per atom): 754


The following is a PBE-GGA calculation of a relaxed structure of CrFeCo2, from Alexandria via LeMat-Bulk.

abc: 3.551 3.551 3.519
angles: 90.00 90.00 90.00
Space group P4/mmm (No. 123)
Symmetry-distinct sites (fractional):
Cr  0.000  0.000  0.000 x1
Fe  0.500  0.500  0.000 x1
Co  0.000  0.500  0.500 x2

Calculated formation energy (eV per formula unit): -0.02


The following is a PBE-GGA calculation of a relaxed structure of BaZrAs2Br, from Alexandria via LeMat-Bulk.

abc: 5.239 5.239 5.508
angles: 90.00 90.00 90.00
Space group P4/mmm (No. 123)
Symmetry-distinct sites (fractional):
Ba  0.000  0.000  0.000 x1
Zr  0.500  0.500  0.500 x1
As  0.000  0.500  0.500 x2
Br  0.500  0.500  0.000 x1

Distance to the lowest polymorph of the same formula (meV per atom): 0
Energy relative to the elements, uncorrected (meV per atom): -986


The following is a PBE-GGA calculation of a relaxed structure of Er7Zn4Sn, from Alexandria via LeMat-Bulk.

abc: 13.941 5.615 8.807
angles: 90.00 118.92 90.00
Space group C2/m (No. 12)
Symmetry-distinct sites (fractional):
Er  0.000  0.000  0.000 x2
Er  0.077  0.500  0.408 x4
Er  0.182  0.500  0.876 x4
Er  0.223  0.000  0.685 x4
Zn  0.015  0.000  0.667 x4
Zn  0.189  0.000  0.335 x4
Sn  0.000  0.500  0.000 x2

Calculated formation energy (eV per formula unit): -1.97